Tl4MoSe after structural relaxation. Source: Alexandria, functional PBE-GGA.

## Properties
- E_form (uncorrected) (meV/atom) = 798
- total magnetic moment (μB/f.u.) = 4.71

```
data_Tl4MoSe
_chemical_formula_sum 'Tl4 Mo1 Se1'
_space_group_name_H-M_alt 'P 1'
_space_group_IT_number 1
_space_group_name_Hall 'P 1'
_cell_length_a 6.3078
_cell_length_b 6.3078
_cell_length_c 6.3078
_cell_angle_alpha 60.00
_cell_angle_beta 60.00
_cell_angle_gamma 60.00
loop_
_atom_site_label
_atom_site_type_symbol
_atom_site_fract_x
_atom_site_fract_y
_atom_site_fract_z
Se1 Se 0.0000 0.0000 0.0000
Tl1 Tl 0.3749 0.3749 0.3749
Tl2 Tl 0.3749 0.3749 0.8752
Tl3 Tl 0.8752 0.3749 0.3749
Tl4 Tl 0.3749 0.8752 0.3749
Mo1 Mo 0.7500 0.7500 0.7500
```


TlAsIO2 after structural relaxation. Source: Alexandria, functional PBE-GGA.

## Properties
- distance to the lowest polymorph of the same formula (eV/atom) = 0.000
- E_form (uncorrected) (meV/atom) = -760
- total magnetic moment (μB/f.u.) = 0.00

```
data_TlAsIO2
_chemical_formula_sum 'Tl2 As2 I2 O4'
_space_group_name_H-M_alt 'P 1'
_space_group_IT_number 1
_space_group_name_Hall 'P 1'
_cell_length_a 4.1245
_cell_length_b 7.7834
_cell_length_c 7.5356
_cell_angle_alpha 105.14
_cell_angle_beta 90.00
_cell_angle_gamma 90.00
loop_
_atom_site_label
_atom_site_type_symbol
_atom_site_fract_x
_atom_site_fract_y
_atom_site_fract_z
O1 O 0.2500 0.4815 0.1767
O2 O 0.7500 0.5549 0.4467
O3 O 0.7500 0.5185 0.8233
O4 O 0.2500 0.4451 0.5533
Tl1 Tl 0.2500 0.7081 0.9601
Tl2 Tl 0.7500 0.2919 0.0399
I1 I 0.7500 0.9662 0.2516
I2 I 0.2500 0.0338 0.7484
As1 As 0.2500 0.6070 0.4119
As2 As 0.7500 0.3930 0.5881
```


CaTcC2 after structural relaxation. Source: Alexandria, functional PBE-GGA.

## Properties
- distance to the lowest polymorph of the same formula (eV/atom) = 0.941
- total magnetic moment (μB/f.u.) = 0.00

```
data_CaTcC2
_chemical_formula_sum 'Ca1 Tc1 C2'
_space_group_name_H-M_alt 'P 1'
_space_group_IT_number 1
_space_group_name_Hall 'P 1'
_cell_length_a 4.0168
_cell_length_b 4.0168
_cell_length_c 4.0168
_cell_angle_alpha 60.00
_cell_angle_beta 60.00
_cell_angle_gamma 60.00
loop_
_atom_site_label
_atom_site_type_symbol
_atom_site_fract_x
_atom_site_fract_y
_atom_site_fract_z
C1 C 0.2500 0.2500 0.2500
C2 C 0.7500 0.7500 0.7500
Ca1 Ca 0.0000 0.0000 0.0000
Tc1 Tc 0.5000 0.5000 0.5000
```


Zr6Cu5Re after structural relaxation. Source: Alexandria, functional PBE-GGA.

## Properties
- raw total energy (eV/atom) = -7.173
- total magnetic moment (μB/f.u.) = 0.00

```
data_Zr6Cu5Re
_chemical_formula_sum 'Zr6 Cu5 Re1'
_space_group_name_H-M_alt 'P 1'
_space_group_IT_number 1
_space_group_name_Hall 'P 1'
_cell_length_a 4.6610
_cell_length_b 6.5474
_cell_length_c 7.3569
_cell_angle_alpha 90.00
_cell_angle_beta 108.46
_cell_angle_gamma 90.00
loop_
_atom_site_label
_atom_site_type_symbol
_atom_site_fract_x
_atom_site_fract_y
_atom_site_fract_z
Zr1 Zr 0.5000 0.7528 0.0000
Zr2 Zr 0.5000 0.2472 0.0000
Zr3 Zr 0.8362 0.7509 0.6699
Zr4 Zr 0.1638 0.7509 0.3301
Zr5 Zr 0.8362 0.2491 0.6699
Zr6 Zr 0.1638 0.2491 0.3301
Cu1 Cu 0.3329 0.0000 0.6617
Cu2 Cu 0.0000 0.5000 0.0000
Cu3 Cu 0.3385 0.5000 0.6727
Cu4 Cu 0.6671 0.0000 0.3383
Cu5 Cu 0.6615 0.5000 0.3273
Re1 Re 0.0000 0.0000 0.0000
```


PmPaZnIn after structural relaxation. Source: Alexandria, functional PBE-GGA.

## Properties
- raw total energy (eV/atom) = -4.581
- total magnetic moment (μB/f.u.) = 0.89

```
data_PmPaZnIn
_chemical_formula_sum 'Pm1 Pa1 Zn1 In1'
_space_group_name_H-M_alt 'P 1'
_space_group_IT_number 1
_space_group_name_Hall 'P 1'
_cell_length_a 5.2542
_cell_length_b 5.2542
_cell_length_c 5.2542
_cell_angle_alpha 60.00
_cell_angle_beta 60.00
_cell_angle_gamma 60.00
loop_
_atom_site_label
_atom_site_type_symbol
_atom_site_fract_x
_atom_site_fract_y
_atom_site_fract_z
Pm1 Pm 0.2500 0.2500 0.2500
Zn1 Zn 0.0000 0.0000 0.0000
In1 In 0.5000 0.5000 0.5000
Pa1 Pa 0.7500 0.7500 0.7500
```


TiZn3Rh after structural relaxation. Source: Alexandria, functional PBE-GGA.

## Properties
- distance to the lowest polymorph of the same formula (eV/atom) = 0.000
- total magnetic moment (μB/f.u.) = 0.00

```
data_TiZn3Rh
_chemical_formula_sum 'Ti2 Zn6 Rh2'
_space_group_name_H-M_alt 'P 1'
_space_group_IT_number 1
_space_group_name_Hall 'P 1'
_cell_length_a 4.6139
_cell_length_b 5.3949
_cell_length_c 6.4440
_cell_angle_alpha 90.00
_cell_angle_beta 69.05
_cell_angle_gamma 90.00
loop_
_atom_site_label
_atom_site_type_symbol
_atom_site_fract_x
_atom_site_fract_y
_atom_site_fract_z
Ti1 Ti 0.4126 0.2500 0.6742
Ti2 Ti 0.5874 0.7500 0.3258
Zn1 Zn 0.8105 0.4973 0.8791
Zn2 Zn 0.0122 0.2500 0.4747
Zn3 Zn 0.8105 0.0027 0.8791
Zn4 Zn 0.9878 0.7500 0.5253
Zn5 Zn 0.1895 0.9973 0.1209
Zn6 Zn 0.1895 0.5027 0.1209
Rh1 Rh 0.6188 0.2500 0.2612
Rh2 Rh 0.3812 0.7500 0.7388
```